Record 1
Density functional theory data (PBE-GGA) for a relaxed structure of DyMgHg2.

total moment = 0.00 μB per formula unit
E = -2.1552 eV per atom
space-group type = Fm-3m, No. 225
distance to the lowest polymorph of the same formula = 0 meV/atom
formation enthalpy at 0 K = -455 meV per atom

a b c (Å): 5.072 5.072 5.072
angles (deg): 60.00 60.00 60.00
Element x y z (fractional)
Dy  0.000  0.000  0.000
Mg  0.500  0.500  0.500
Hg  0.250  0.250  0.250
Hg  0.750  0.750  0.750

Record 2
Density functional theory data (PBE-GGA) for a relaxed structure of Dy3MgHg4.

total moment = 0.00 μB per formula unit
E = -2.5431 eV per atom
space-group type = R-3m, No. 166
formation enthalpy at 0 K = -467 meV per atom

a b c (Å): 9.053 9.053 9.053
angles (deg): 33.08 33.08 33.08
Element x y z (fractional)
Dy  0.000  0.000  0.000
Dy  0.245  0.245  0.245
Dy  0.755  0.755  0.755
Mg  0.500  0.500  0.500
Hg  0.125  0.125  0.125
Hg  0.373  0.373  0.373
Hg  0.627  0.627  0.627
Hg  0.875  0.875  0.875

Record 3
Density functional theory data (PBE-GGA) for a relaxed structure of Dy5MgHg4.

total moment = 0.01 μB per formula unit
E = -2.9807 eV per atom
space-group type = P4/mmm, No. 123
formation enthalpy at 0 K = -399 meV per atom

a b c (Å): 3.739 3.739 18.580
angles (deg): 90.00 90.00 90.00
Element x y z (fractional)
Dy  0.000  0.000  0.000
Dy  0.000  0.000  0.199
Dy  0.000  0.000  0.397
Dy  0.000  0.000  0.603
Dy  0.000  0.000  0.801
Mg  0.500  0.500  0.500
Hg  0.500  0.500  0.100
Hg  0.500  0.500  0.302
Hg  0.500  0.500  0.698
Hg  0.500  0.500  0.900

Record 4
Density functional theory data (PBE-GGA) for a relaxed structure of Dy3MgHg2.

total moment = 0.00 μB per formula unit
E = -3.0153 eV per atom
space-group type = P4/mmm, No. 123
distance to the lowest polymorph of the same formula = 14 meV/atom
formation enthalpy at 0 K = -348 meV per atom

a b c (Å): 3.762 3.762 11.080
angles (deg): 90.00 90.00 90.00
Element x y z (fractional)
Dy  0.000  0.000  0.000
Dy  0.000  0.000  0.329
Dy  0.000  0.000  0.671
Mg  0.500  0.500  0.500
Hg  0.500  0.500  0.171
Hg  0.500  0.500  0.829

Record 5
Density functional theory data (PBE-GGA) for a relaxed structure of DyMg3Hg3.

total moment = 0.00 μB per formula unit
E = -1.2114 eV per atom
space-group type = Pm-3n, No. 223
formation enthalpy at 0 K = 259 meV per atom

a b c (Å): 7.467 7.467 7.467
angles (deg): 90.00 90.00 90.00
Element x y z (fractional)
Dy  0.000  0.000  0.000
Dy  0.500  0.500  0.500
Mg  0.000  0.250  0.500
Mg  0.000  0.750  0.500
Mg  0.250  0.500  0.000
Mg  0.500  0.000  0.250
Mg  0.500  0.000  0.750
Mg  0.750  0.500  0.000
Hg  0.000  0.500  0.250
Hg  0.000  0.500  0.750
Hg  0.250  0.000  0.500
Hg  0.500  0.250  0.000
Hg  0.500  0.750  0.000
Hg  0.750  0.000  0.500

Record 6
Density functional theory data (PBE-GGA) for a relaxed structure of Dy4MgHg2.

total moment = 0.00 μB per formula unit
E = -3.1622 eV per atom
space-group type = R-3m, No. 166
distance to the lowest polymorph of the same formula = 0 meV/atom
formation enthalpy at 0 K = -218 meV per atom

a b c (Å): 8.725 8.725 8.725
angles (deg): 34.75 34.75 34.75
Element x y z (fractional)
Dy  0.110  0.110  0.110
Dy  0.366  0.366  0.366
Dy  0.634  0.634  0.634
Dy  0.890  0.890  0.890
Mg  0.500  0.500  0.500
Hg  0.239  0.239  0.239
Hg  0.761  0.761  0.761

Record 7
Density functional theory data (PBE-GGA) for a relaxed structure of DyMg7Hg4.

total moment = 0.00 μB per formula unit
E = -1.4277 eV per atom
space-group type = C2/m, No. 12
formation enthalpy at 0 K = -13 meV per atom

a b c (Å): 6.901 6.901 10.284
angles (deg): 122.38 122.38 46.57
Element x y z (fractional)
Dy  0.000  0.000  0.000
Mg  0.064  0.064  0.367
Mg  0.219  0.219  0.890
Mg  0.333  0.333  0.407
Mg  0.500  0.500  0.000
Mg  0.667  0.667  0.593
Mg  0.781  0.781  0.110
Mg  0.936  0.936  0.633
Hg  0.292  0.292  0.674
Hg  0.427  0.427  0.223
Hg  0.573  0.573  0.777
Hg  0.708  0.708  0.326

Record 8
Density functional theory data (PBE-GGA) for a relaxed structure of Dy4Mg5Hg2.

total moment = 0.00 μB per formula unit
E = -2.6143 eV per atom
space-group type = P2/m, No. 10
formation enthalpy at 0 K = -161 meV per atom

a b c (Å): 7.969 3.494 10.435
angles (deg): 90.00 93.54 90.00
Element x y z (fractional)
Dy  0.159  0.000  0.381
Dy  0.265  0.000  0.947
Dy  0.735  0.000  0.053
Dy  0.841  0.000  0.619
Mg  0.199  0.500  0.664
Mg  0.437  0.500  0.204
Mg  0.500  0.500  0.500
Mg  0.563  0.500  0.796
Mg  0.801  0.500  0.336
Hg  0.061  0.500  0.142
Hg  0.939  0.500  0.858